Entry from Alexandria: a relaxed structure of Na2B3C (PBE).

Structure (extended XYZ):
```
24
Lattice="2.914 0.000 0.000 -1.457 2.523 0.000 0.000 0.000 34.328" Properties=species:S:1:pos:R:3 pbc="T T T"
Na 0.000 0.000 0.000
Na 0.000 0.000 4.222
Na 0.000 0.000 8.565
Na 0.000 0.000 12.803
Na 0.000 0.000 17.164
Na 0.000 0.000 21.526
Na 0.000 0.000 25.763
Na 0.000 0.000 30.106
B 0.000 1.682 2.101
B 0.000 1.682 6.395
B 0.000 1.682 10.689
B 0.000 1.682 14.978
B 0.000 1.682 19.350
B 0.000 1.682 27.933
B 1.457 0.841 6.395
B 1.457 0.841 14.978
B 1.457 0.841 19.350
B 1.457 0.841 23.639
B 1.457 0.841 27.933
B 1.457 0.841 32.228
C 0.000 1.682 23.638
C 0.000 1.682 32.230
C 1.457 0.841 2.099
C 1.457 0.841 10.690
```

Summary:
Crystal system   trigonal
Mass density   2.38 Mg/m³
Size of the total moment   0.00 μB/atom
Energy relative to the lowest polymorph listed for this composition   0.058 eV/atom
Formation energy   0.191 eV/atom